# 1
The following is a PBE-GGA calculation of a relaxed GePtO4 crystal, from OQMD. Values from VASP.

Geometry as Quantum ESPRESSO input:
```
&SYSTEM
  ibrav = 0, nat = 6, ntyp = 3
/
ATOMIC_SPECIES
Pt 195.08 Pt.upf
O 16.00 O.upf
Ge 72.64 Ge.upf
CELL_PARAMETERS angstrom
4.486 0.000 0.000
0.000 3.068 0.000
-0.011 0.000 4.500
ATOMIC_POSITIONS crystal
Pt 0.000 0.500 0.000
O 0.203 0.000 0.202
O 0.315 0.500 0.684
Ge 0.500 0.000 0.500
O 0.685 0.500 0.316
O 0.797 0.000 0.798
```

Output
E_tot = -6.064 eV/atom
size of the total moment = 0.0 μB/f.u.
energy relative to the lowest polymorph listed for this composition = 0.000 eV/atom

# 2
The following is a PBE-GGA calculation of a relaxed PaSnGe crystal, from OQMD. Values from VASP.

Geometry as Quantum ESPRESSO input:
```
&SYSTEM
  ibrav = 0, nat = 3, ntyp = 3
/
ATOMIC_SPECIES
Sn 118.71 Sn.upf
Ge 72.64 Ge.upf
Pa 231.04 Pa.upf
CELL_PARAMETERS angstrom
-1.546 -0.515 4.506
-4.074 -2.364 0.880
0.133 -4.304 2.101
ATOMIC_POSITIONS crystal
Sn 0.750 0.750 0.750
Ge 0.000 0.000 0.000
Pa 0.250 0.250 0.250
```

Output
E_tot = -5.918 eV/atom
size of the total moment = 0.9 μB/f.u.
energy relative to the lowest polymorph listed for this composition = 0.000 eV/atom

# 3
The following is a PBE-GGA calculation of a relaxed Sm2DyHoIn2 crystal, from OQMD. Values from VASP.

Geometry as Quantum ESPRESSO input:
```
&SYSTEM
  ibrav = 0, nat = 6, ntyp = 4
/
ATOMIC_SPECIES
Sm 150.36 Sm.upf
In 114.82 In.upf
Dy 162.50 Dy.upf
Ho 164.93 Ho.upf
CELL_PARAMETERS angstrom
5.435 0.000 0.000
-2.717 4.707 0.000
0.000 0.000 6.780
ATOMIC_POSITIONS crystal
Sm 0.333 0.667 0.250
In 0.667 0.333 0.250
Dy 0.000 0.000 0.000
Sm 0.667 0.333 0.750
Ho 0.000 0.000 0.500
In 0.333 0.667 0.750
```

Output
E_tot = -4.364 eV/atom
size of the total moment = 0.5 μB/f.u.

# 4
The following is a PBE-GGA calculation of a relaxed CsTaAgSeS2 crystal, from OQMD. Values from VASP.

Geometry as Quantum ESPRESSO input:
```
&SYSTEM
  ibrav = 0, nat = 12, ntyp = 5
/
ATOMIC_SPECIES
S 32.06 S.upf
Cs 132.91 Cs.upf
Ta 180.95 Ta.upf
Ag 107.87 Ag.upf
Se 78.96 Se.upf
CELL_PARAMETERS angstrom
1.853 -8.154 0.000
1.853 8.154 0.000
0.000 0.000 10.205
ATOMIC_POSITIONS crystal
S 0.395 0.605 0.030
S 0.395 0.605 0.470
Cs 0.245 0.755 0.750
Cs 0.755 0.245 0.250
Ta 0.000 0.000 0.000
S 0.605 0.395 0.530
Ag 0.453 0.547 0.250
Se 0.933 0.067 0.750
Ta 0.000 0.000 0.500
Ag 0.547 0.453 0.750
Se 0.067 0.933 0.250
S 0.605 0.395 0.970
```

Output
E_tot = -5.225 eV/atom
size of the total moment = 0.4 μB/f.u.

# 5
The following is a PBE-GGA calculation of a relaxed CsSrIr crystal, from OQMD. Values from VASP.

Geometry as Quantum ESPRESSO input:
```
&SYSTEM
  ibrav = 0, nat = 3, ntyp = 3
/
ATOMIC_SPECIES
Ir 192.22 Ir.upf
Cs 132.91 Cs.upf
Sr 87.62 Sr.upf
CELL_PARAMETERS angstrom
-1.735 -4.710 1.322
-5.078 -1.052 -0.222
-1.828 -3.210 -3.647
ATOMIC_POSITIONS crystal
Ir 0.250 0.250 0.250
Cs 0.000 0.000 0.000
Sr 0.750 0.750 0.750
```

Output
E_tot = -2.767 eV/atom
size of the total moment = 0.0 μB/f.u.

# 6
The following is a PBE-GGA calculation of a relaxed Rb2TlCoBr6 crystal, from OQMD. Values from VASP.

Geometry as Quantum ESPRESSO input:
```
&SYSTEM
  ibrav = 0, nat = 10, ntyp = 4
/
ATOMIC_SPECIES
Br 79.90 Br.upf
Rb 85.47 Rb.upf
Co 58.93 Co.upf
Tl 204.38 Tl.upf
CELL_PARAMETERS angstrom
-3.755 4.415 5.192
0.067 7.748 -0.710
-6.483 3.774 -2.067
ATOMIC_POSITIONS crystal
Br 0.222 0.778 0.222
Br 0.778 0.222 0.778
Rb 0.750 0.750 0.750
Br 0.778 0.222 0.222
Co 0.000 0.000 0.000
Br 0.778 0.778 0.222
Rb 0.250 0.250 0.250
Br 0.222 0.222 0.778
Br 0.222 0.778 0.778
Tl 0.500 0.500 0.500
```

Output
E_tot = -3.113 eV/atom
size of the total moment = 0.0 μB/f.u.

# 7
The following is a PBE-GGA calculation of a relaxed BaLaAu2 crystal, from OQMD. Values from VASP.

Geometry as Quantum ESPRESSO input:
```
&SYSTEM
  ibrav = 0, nat = 8, ntyp = 3
/
ATOMIC_SPECIES
Au 196.97 Au.upf
La 138.91 La.upf
Ba 137.33 Ba.upf
CELL_PARAMETERS angstrom
-2.856 -2.992 -2.829
6.447 -2.684 -3.669
0.522 -4.430 4.158
ATOMIC_POSITIONS crystal
Au 0.000 0.744 0.348
Au 0.000 0.178 0.154
La 0.000 0.060 0.648
Au 0.500 0.255 0.848
La 0.500 0.940 0.148
Au 0.500 0.822 0.654
Ba 0.500 0.438 0.351
Ba 0.000 0.562 0.851
```

Output
E_tot = -4.101 eV/atom
size of the total moment = 0.0 μB/f.u.

# 8
The following is a PBE-GGA calculation of a relaxed TaNbCoAs crystal, from OQMD. Values from VASP.

Geometry as Quantum ESPRESSO input:
```
&SYSTEM
  ibrav = 0, nat = 4, ntyp = 4
/
ATOMIC_SPECIES
Nb 92.91 Nb.upf
As 74.92 As.upf
Co 58.93 Co.upf
Ta 180.95 Ta.upf
CELL_PARAMETERS angstrom
1.397 0.404 4.187
-1.181 3.535 2.399
-2.870 -0.452 3.347
ATOMIC_POSITIONS crystal
Nb 0.250 0.250 0.250
As 0.000 0.000 0.000
Co 0.750 0.750 0.750
Ta 0.500 0.500 0.500
```

Output
E_tot = -8.243 eV/atom
size of the total moment = 0.0 μB/f.u.
energy relative to the lowest polymorph listed for this composition = 0.000 eV/atom